DFT (PBE with a Hubbard U) results for CaCr3B4O12 after structural relaxation.

## Properties
M_tot	0.400	μB/atom
final energy	-156.22	eV/cell
space group	R32 (155)
D(E_F)	8.969	states/eV/f.u.

Structure (POSCAR):
```
CaCr3B4O12
1.0
4.802 2.772 2.524
-4.802 2.772 2.524
0.000 -5.545 2.524
Ca Cr B O
1 3 4 12
Direct
0.000 0.000 0.000 Ca
0.000 0.553 0.447 Cr
0.447 0.000 0.553 Cr
0.553 0.447 0.000 Cr
0.056 0.500 0.944 B
0.500 0.500 0.500 B
0.500 0.944 0.056 B
0.944 0.056 0.500 B
0.026 0.623 0.784 O
0.089 0.911 0.500 O
0.216 0.377 0.974 O
0.355 0.645 0.500 O
0.377 0.974 0.216 O
0.500 0.089 0.911 O
0.500 0.355 0.645 O
0.623 0.784 0.026 O
0.645 0.500 0.355 O
0.784 0.026 0.623 O
0.911 0.500 0.089 O
0.974 0.216 0.377 O
```